1.
# PmPr4Nd2Dy2

A relaxed PmPr4Nd2Dy2 crystal (PBE-GGA, Alexandria).

Lattice parameters (Å, degrees): 5.1887 8.1995 8.1694 107.57 90.00 108.45
Last column: nearest neighbours and their distance in Å.
Positions (direct):
1 Pr 0.4452 0.8904 0.6693  2 Pm 3.65, 2 Dy 3.65-3.66, 4 Nd 3.67-3.69, 4 Pr 3.68-3.69
2 Pr 0.2222 0.4444 0.3298  3 Dy 3.62-3.64, 1 Pm 3.64, 3 Nd 3.66-3.70, 5 Pr 3.68-3.70
3 Pr 0.7778 0.5556 0.6702  3 Dy 3.62-3.64, 1 Pm 3.64, 3 Nd 3.66-3.70, 5 Pr 3.68-3.70
4 Pr 0.5548 0.1096 0.3307  2 Pm 3.65, 2 Dy 3.65-3.66, 4 Nd 3.67-3.69, 4 Pr 3.68-3.69
5 Pm 0.0000 0.0000 0.0000  6 Pr 3.64-3.65, 2 Nd 3.65, 4 Dy 3.68
6 Nd 0.8882 0.7765 0.3307  3 Dy 3.63-3.64, 1 Pm 3.65, 7 Pr 3.66-3.70, 1 Nd 3.69
7 Nd 0.1118 0.2235 0.6693  3 Dy 3.63-3.64, 1 Pm 3.65, 7 Pr 3.66-3.70, 1 Nd 3.69
8 Dy 0.6676 0.3351 0.9994  5 Pr 3.62-3.66, 3 Nd 3.63-3.64, 2 Dy 3.65, 2 Pm 3.68
9 Dy 0.3324 0.6649 0.0006  5 Pr 3.62-3.66, 3 Nd 3.63-3.64, 2 Dy 3.65, 2 Pm 3.68

Properties
* formation energy: 17 meV/atom
* raw total energy: -42.46 eV for the cell shown
* space-group type: C2/m

***

2.
# Pm3Pr6Nd2Dy

A relaxed Pm3Pr6Nd2Dy crystal (PBE-GGA, Alexandria).

Lattice parameters (Å, degrees): 6.3824 6.3824 12.1684 95.04 95.04 120.01
Last column: nearest neighbours and their distance in Å.
Positions (direct):
1 Pr 0.2492 0.2492 0.7502  1 Dy 3.67, 3 Pm 3.67-3.68, 2 Nd 3.67, 6 Pr 3.67-3.69
2 Pr 0.5846 0.9168 0.7504  1 Dy 3.66, 2 Nd 3.67, 6 Pr 3.67-3.69, 3 Pm 3.67-3.68
3 Pr 0.0832 0.4154 0.2496  1 Dy 3.66, 2 Nd 3.67, 6 Pr 3.67-3.69, 3 Pm 3.67-3.68
4 Pr 0.9168 0.5846 0.7504  1 Dy 3.66, 2 Nd 3.67, 6 Pr 3.67-3.69, 3 Pm 3.67-3.68
5 Pr 0.4154 0.0832 0.2496  1 Dy 3.66, 2 Nd 3.67, 6 Pr 3.67-3.69, 3 Pm 3.67-3.68
6 Pr 0.7508 0.7508 0.2498  1 Dy 3.67, 3 Pm 3.67-3.68, 2 Nd 3.67, 6 Pr 3.67-3.69
7 Pm 0.5000 0.5000 0.5000  6 Pr 3.67-3.68, 6 Pm 3.68-3.69
8 Pm 0.1666 0.8334 0.5000  6 Pr 3.67-3.68, 6 Pm 3.68-3.69
9 Pm 0.8334 0.1666 0.5000  6 Pr 3.67-3.68, 6 Pm 3.68-3.69
10 Nd 0.3332 0.6668 0.0000  6 Pr 3.67, 3 Nd 3.68-3.69, 3 Dy 3.68-3.69
11 Nd 0.6668 0.3332 0.0000  6 Pr 3.67, 3 Nd 3.68-3.69, 3 Dy 3.68-3.69
12 Dy 0.0000 0.0000 0.0000  6 Pr 3.66-3.67, 6 Nd 3.68-3.69

Properties
* formation energy: 12 meV/atom
* raw total energy: -56.92 eV for the cell shown
* space-group type: C2/m

***

3.
# Pm2PrNdDy5

A relaxed Pm2PrNdDy5 crystal (PBE-GGA, Alexandria).

Lattice parameters (Å, degrees): 8.7579 8.7579 9.9564 116.09 116.09 90.00
Last column: nearest neighbours and their distance in Å.
Positions (direct):
1 Dy 0.6564 0.1564 0.7279  1 Pm 3.03, 1 Nd 3.13
2 Dy 0.9284 0.4284 0.2721  1 Pm 3.03, 1 Nd 3.13
3 Dy 0.8436 0.9284 0.2721  1 Pm 3.03, 1 Nd 3.13
4 Dy 0.5716 0.6564 0.7279  1 Pm 3.03, 1 Nd 3.13
5 Dy 0.5000 0.5000 0.0000  4 Pm 3.51, 8 Dy 3.79, 2 Pr 3.90
6 Dy 0.1564 0.0716 0.7279  1 Pm 3.03, 1 Nd 3.13
7 Dy 0.3436 0.8436 0.2721  1 Pm 3.03, 1 Nd 3.13
8 Dy 0.0000 0.0000 0.0000  4 Pm 3.51, 8 Dy 3.79, 2 Pr 3.90
9 Dy 0.4284 0.3436 0.2721  1 Pm 3.03, 1 Nd 3.13
10 Dy 0.0716 0.5716 0.7279  1 Pm 3.03, 1 Nd 3.13
11 Nd 0.2500 0.7500 0.5000  4 Dy 3.13
12 Nd 0.7500 0.2500 0.5000  4 Dy 3.13
13 Pr 0.2500 0.2500 0.5000  10 Dy 3.61-3.90
14 Pr 0.7500 0.7500 0.5000  10 Dy 3.61-3.90
15 Pm 0.3828 0.8828 0.0000  1 Pm 2.90, 2 Dy 3.03
16 Pm 0.8828 0.6172 0.0000  1 Pm 2.90, 2 Dy 3.03
17 Pm 0.1172 0.3828 0.0000  1 Pm 2.90, 2 Dy 3.03
18 Pm 0.6172 0.1172 0.0000  1 Pm 2.90, 2 Dy 3.03

Properties
* formation energy: 251 meV/atom
* raw total energy: -79.61 eV for the cell shown
* space-group type: I4/mcm